DFT (PBE) results for an optimized crystal structure of HfMgCdIn.

Calculated values
V   84.8 Å³/f.u.
Formation energy from the elements   -0.111 eV per atom
Space group   Pmmm (47)
Total energy   -15.6 eV for the cell shown

The structure in POSCAR format:
```
HfMgCdIn
1.0
-2.489 -0.096 -3.483
0.076 -4.369 0.066
-3.686 -0.024 2.635
Mg In Hf Cd
1 1 1 1
direct
0.000 0.000 0.000
0.500 0.000 0.500
0.000 0.500 0.500
0.500 0.500 0.000
```

=====

DFT (PBE) results for an optimized crystal structure of NaHfCdIn2.

Calculated values
V   190.9 Å³/f.u.
Formation energy from the elements   0.850 eV per atom
Space group   P4/mmm (123)
Total energy   -13.4 eV for the cell shown

The structure in POSCAR format:
```
NaHfCdIn2
1.0
-2.508 -0.815 -4.945
-4.361 -3.225 2.743
-2.992 4.680 0.746
In Cd Na Hf
2 1 1 1
direct
0.000 0.000 0.500
0.500 0.000 0.000
0.500 0.500 0.500
0.000 0.500 0.000
0.000 0.000 0.000
```

=====

DFT (PBE) results for an optimized crystal structure of NdHfCdIn.

Calculated values
V   99.4 Å³/f.u.
Formation energy from the elements   -0.133 eV per atom
Space group   F-43m (216)
Total energy   -18.9 eV for the cell shown

The structure in POSCAR format:
```
NdHfCdIn
1.0
5.199 0.000 0.000
2.599 4.502 0.000
2.599 1.501 4.245
Cd Nd Hf In
1 1 1 1
direct
0.750 0.750 0.750
0.000 0.000 0.000
0.500 0.500 0.500
0.250 0.250 0.250
```

=====

DFT (PBE) results for an optimized crystal structure of HfCdIn2Ni.

Calculated values
V   112.2 Å³/f.u.
Formation energy from the elements   0.359 eV per atom
Space group   P4/mmm (123)
Total energy   -20.3 eV for the cell shown

The structure in POSCAR format:
```
HfCdIn2Ni
1.0
4.819 0.000 0.000
0.000 4.830 0.000
0.000 0.000 4.819
In Cd Hf Ni
2 1 1 1
direct
0.500 0.000 0.000
0.000 0.000 0.500
0.000 0.500 0.000
0.500 0.500 0.500
0.000 0.000 0.000
```

=====

DFT (PBE) results for an optimized crystal structure of Hf2CdInNi.

Calculated values
V   124.1 Å³/f.u.
Formation energy from the elements   1.040 eV per atom
Space group   P4/mmm (123)
Total energy   -24.1 eV for the cell shown

The structure in POSCAR format:
```
Hf2CdInNi
1.0
5.168 0.000 0.000
0.000 4.645 0.000
0.000 0.000 5.168
Hf Cd Ni In
2 1 1 1
direct
0.000 0.000 0.500
0.500 0.000 0.000
0.000 0.000 0.000
0.000 0.500 0.000
0.500 0.500 0.500
```

=====

DFT (PBE) results for an optimized crystal structure of PmHfCdIn.

Calculated values
V   98.2 Å³/f.u.
Formation energy from the elements   -0.144 eV per atom
Space group   F-43m (216)
Total energy   -18.9 eV for the cell shown

The structure in POSCAR format:
```
PmHfCdIn
1.0
-2.485 2.816 3.565
-4.684 1.946 -1.041
-4.186 -1.924 2.362
In Cd Hf Pm
1 1 1 1
direct
0.250 0.250 0.250
0.750 0.750 0.750
0.500 0.500 0.500
0.000 0.000 0.000
```

=====

DFT (PBE) results for an optimized crystal structure of Hf2CdInPt.

Calculated values
V   133.6 Å³/f.u.
Formation energy from the elements   0.989 eV per atom
Space group   P4/mmm (123)
Total energy   -24.7 eV for the cell shown

The structure in POSCAR format:
```
Hf2CdInPt
1.0
5.222 0.000 0.000
0.000 4.901 0.000
0.000 0.000 5.222
Cd Hf Pt In
1 2 1 1
direct
0.500 0.500 0.500
0.000 0.000 0.500
0.500 0.000 0.000
0.000 0.500 0.000
0.000 0.000 0.000
```

=====

DFT (PBE) results for an optimized crystal structure of Hf2CdInS.

Calculated values
V   118.0 Å³/f.u.
Uncorrected formation energy   0.04 eV/atom
Space group   P4/mmm (123)
Total energy   -27.5 eV for the cell shown

The structure in POSCAR format:
```
Hf2CdInS
1.0
4.748 0.000 0.000
0.000 5.235 0.000
0.000 0.000 4.748
S Cd Hf In
1 1 2 1
direct
0.000 0.000 0.000
0.500 0.500 0.500
0.000 0.000 0.500
0.500 0.000 0.000
0.000 0.500 0.000
```